# Li2PaO3 (PBE, optimized geometry)
# * final energy: -6.969 eV per atom
data_Li2PaO3
_chemical_formula_sum 'Li8 Pa4 O12'
_cell_length_a 5.7797
_cell_length_b 10.1994
_cell_length_c 5.2425
_cell_angle_alpha 90.00
_cell_angle_beta 109.68
_cell_angle_gamma 90.00
_symmetry_space_group_name_H-M 'C 1 2/m 1'
_symmetry_Int_Tables_number 12
_symmetry_space_group_name_Hall '-C 2y'
loop_
_atom_site_label
_atom_site_type_symbol
_atom_site_fract_x
_atom_site_fract_y
_atom_site_fract_z
Li1 Li 0.0000 0.0000 0.0000
Li2 Li 0.0000 0.1275 0.5000
Li3 Li 0.0000 0.5000 0.5000
Pa1 Pa 0.0000 0.3318 0.0000
O1 O 0.2395 0.1642 0.2438
O2 O 0.2413 0.5000 0.2547